[1]
Li2CrAs (meta-GGA SCAN, PBEsol geometry); volume = 60.7 Å³/f.u.; Fermi-level density of states = 1.8 states/eV per cell; formation energy = -0.098 eV/atom; space-group type = P4/mmm
1.0
-2.384 -2.321 -0.941
0.548 -1.751 2.931
-3.588 2.748 2.313
Cr As Li
1 1 2
direct
0.500 0.500 0.500
0.500 0.500 0.000
0.000 0.000 0.767
0.000 0.000 0.233



[2]
LiCrAs2 (meta-GGA SCAN, PBEsol geometry); volume = 62.9 Å³/f.u.; Fermi-level density of states = 2.5 states/eV per cell; formation energy = 0.064 eV/atom; space-group type = F-43m
1.0
-3.326 -1.331 2.665
-2.824 -3.175 -1.371
0.122 -4.054 1.867
As Cr Li
2 1 1
direct
0.000 0.000 0.000
0.750 0.750 0.750
0.500 0.500 0.500
0.250 0.250 0.250



[3]
LiCrAs2 (meta-GGA SCAN, PBEsol geometry); volume = 65.9 Å³/f.u.; Fermi-level density of states = 2.0 states/eV per cell; formation energy = 0.252 eV/atom; space-group type = R3m
1.0
-2.197 -1.533 0.759
-1.387 -1.483 -1.905
4.722 -8.666 1.270
As Cr Li
2 1 1
direct
0.985 0.985 0.045
0.770 0.770 0.690
0.500 0.500 0.500
0.245 0.245 0.264



[4]
Li3Cr2As3O12 (meta-GGA SCAN, PBEsol geometry); volume = 212.0 Å³/f.u.; energy relative to the elements, uncorrected = -38.78 eV/f.u.; Fermi-level density of states = 0.0 states/eV per cell; space-group type = Ia-3d
1.0
10.328 0.000 0.000
-3.443 9.737 0.000
-3.443 -4.869 8.433
Li Cr As O
12 8 12 48
direct
0.250 0.625 0.375
0.125 0.375 0.750
0.625 0.875 0.750
0.750 0.875 0.125
0.125 0.750 0.875
0.625 0.750 0.375
0.875 0.250 0.125
0.375 0.250 0.625
0.250 0.125 0.875
0.375 0.125 0.250
0.875 0.625 0.250
0.750 0.375 0.625
0.500 0.500 0.500
0.000 0.000 0.000
0.500 0.000 0.500
0.500 0.500 0.000
0.500 0.000 0.000
0.000 0.000 0.500
0.000 0.500 0.000
0.000 0.500 0.500
0.125 0.250 0.375
0.375 0.625 0.750
0.125 0.875 0.250
0.250 0.875 0.625
0.250 0.375 0.125
0.375 0.750 0.125
0.625 0.250 0.875
0.750 0.125 0.375
0.750 0.625 0.875
0.875 0.125 0.750
0.625 0.375 0.250
0.875 0.750 0.625
0.100 0.415 0.119
0.119 0.204 0.519
0.085 0.400 0.381
0.085 0.685 0.204
0.415 0.619 0.600
0.019 0.119 0.704
0.381 0.481 0.796
0.796 0.815 0.915
0.296 0.381 0.981
0.400 0.881 0.585
0.100 0.685 0.481
0.315 0.019 0.400
0.881 0.085 0.900
0.185 0.585 0.704
0.519 0.815 0.900
0.519 0.704 0.119
0.981 0.100 0.185
0.585 0.204 0.685
0.315 0.296 0.415
0.619 0.100 0.915
0.185 0.600 0.981
0.296 0.915 0.815
0.400 0.519 0.315
0.204 0.019 0.619
0.704 0.085 0.185
0.600 0.481 0.685
0.796 0.981 0.381
0.815 0.400 0.019
0.381 0.900 0.085
0.685 0.704 0.585
0.415 0.796 0.315
0.019 0.900 0.815
0.481 0.296 0.881
0.481 0.185 0.100
0.119 0.915 0.100
0.685 0.981 0.600
0.815 0.415 0.296
0.900 0.315 0.519
0.600 0.119 0.415
0.704 0.619 0.019
0.204 0.185 0.085
0.619 0.519 0.204
0.915 0.315 0.796
0.585 0.381 0.400
0.981 0.881 0.296
0.915 0.600 0.619
0.881 0.796 0.481
0.900 0.585 0.881



[5]
MgCrAs2 (meta-GGA SCAN, PBEsol geometry); volume = 66.8 Å³/f.u.; Fermi-level density of states = 2.2 states/eV per cell; formation energy = -0.179 eV/atom; space-group type = I-4m2
1.0
3.766 0.000 0.000
0.000 3.766 0.000
-1.883 -1.883 4.709
As Cr Mg
2 1 1
direct
0.000 0.000 0.000
0.750 0.250 0.500
0.500 0.500 0.000
0.250 0.750 0.500



[6]
Mg2CrAs (meta-GGA SCAN, PBEsol geometry); volume = 69.6 Å³/f.u.; Fermi-level density of states = 0.9 states/eV per cell; formation energy = -0.209 eV/atom; space-group type = P4/mmm
1.0
4.045 0.000 0.000
0.000 4.148 0.000
0.000 0.000 4.148
As Cr Mg
1 1 2
direct
0.500 0.500 0.500
0.500 0.000 0.000
0.000 0.000 0.500
0.000 0.500 0.000



[7]
MgCr2As (meta-GGA SCAN, PBEsol geometry); volume = 55.3 Å³/f.u.; Fermi-level density of states = 1.9 states/eV per cell; formation energy = 0.144 eV/atom; space-group type = Fm-3m
1.0
-0.591 3.011 -2.979
1.473 -0.601 -3.969
-2.735 -0.682 -3.215
As Cr Mg
1 2 1
direct
0.000 0.000 0.000
0.250 0.250 0.250
0.750 0.750 0.750
0.500 0.500 0.500



[8]
MgCrAs2 (meta-GGA SCAN, PBEsol geometry); volume = 68.8 Å³/f.u.; Fermi-level density of states = 1.3 states/eV per cell; formation energy = -0.184 eV/atom; space-group type = Immm
1.0
-2.417 -3.104 0.324
1.634 -3.496 2.739
-2.016 -0.497 4.252
As Cr Mg
2 1 1
direct
0.231 0.769 0.769
0.769 0.231 0.231
0.500 0.000 0.000
0.000 0.500 0.500



[9]
MgCrAs2O (meta-GGA SCAN, PBEsol geometry); volume = 78.4 Å³/f.u.; energy relative to the elements, uncorrected = -1.99 eV/f.u.; Fermi-level density of states = 1.3 states/eV per cell; space-group type = P4/mmm
1.0
3.790 0.000 0.000
0.000 4.547 0.000
0.000 0.000 4.547
Cr As Mg O
1 2 1 1
direct
0.500 0.500 0.500
0.000 0.000 0.500
0.000 0.500 0.000
0.500 0.000 0.000
0.000 0.000 0.000



[10]
Mn2CrAs (meta-GGA SCAN, PBEsol geometry); volume = 46.2 Å³/f.u.; Fermi-level density of states = 2.1 states/eV per cell; formation energy = -0.223 eV/atom; space-group type = F-43m
1.0
-3.546 1.822 0.581
-3.132 -0.884 -2.374
-3.118 -2.084 1.472
Cr As Mn
1 1 2
direct
0.250 0.250 0.250
0.500 0.500 0.500
0.000 0.000 0.000
0.750 0.750 0.750



[11]
Mn2CrAs (meta-GGA SCAN, PBEsol geometry); volume = 46.5 Å³/f.u.; Fermi-level density of states = 4.0 states/eV per cell; formation energy = -0.134 eV/atom; space-group type = I-4m2
1.0
-2.080 2.754 0.892
-1.566 -0.147 -3.199
-0.675 -3.622 2.483
As Cr Mn
1 1 2
direct
0.500 0.500 0.000
0.250 0.750 0.500
0.000 0.000 0.000
0.750 0.250 0.500



[12]
Mn3CrAs4 (meta-GGA SCAN, PBEsol geometry); volume = 109.4 Å³/f.u.; Fermi-level density of states = 4.8 states/eV per cell; formation energy = -0.381 eV/atom; space-group type = Pm
1.0
-0.630 3.131 -0.849
-4.912 -1.510 -1.926
-2.409 0.991 5.443
Cr As Mn
1 4 3
direct
0.500 0.496 0.307
0.500 0.305 0.924
0.500 0.804 0.577
0.000 0.698 0.075
0.000 0.194 0.425
0.500 0.996 0.192
0.000 0.504 0.693
0.000 0.004 0.807



no.,DFT total energy (eV per cell)
1,-43.747
2,-60.899
3,-60.146
4,-872.241
5,-64.455
6,-49.360
7,-61.359
8,-64.476
9,-71.958
10,-75.977
11,-75.623
12,-156.958